A crystal of Al3Cu relaxed with PBEsol, computed with meta-GGA SCAN.

Output
Energy of formation from the pure elements = -0.07 eV/atom
Calculated density = 4.1 g cm⁻³
Magnetization = 0.00 μB per formula unit
Space group = No. 166

Cell and atoms, written as POSCAR:
```
Al3Cu
1.0
2.7954 0.0000 0.0000
1.3977 2.4209 0.0000
1.3977 0.8070 8.6934
Al Cu
3 1
direct
0.7438 0.7438 0.7685 Al
0.5000 0.5000 0.5000 Al
0.2562 0.2562 0.2315 Al
0.0000 0.0000 0.0000 Cu
```